VASP calculation (PBE) on an optimized crystal structure of HoTm2Hg5.

Cell and atoms, written as POSCAR:
```
HoTm2Hg5
1.0
-2.5832 2.5832 7.2376
2.5832 -2.5832 7.2376
2.5832 2.5832 -7.2376
Ho Tm Hg
1 2 5
Direct
0.0000 0.0000 0.0000
0.2629 0.2629 0.0000
0.7371 0.7371 0.0000
0.1265 0.6265 0.5000
0.3735 0.8735 0.5000
0.5000 0.5000 0.0000
0.6265 0.1265 0.5000
0.8735 0.3735 0.5000
```

Values from the calculation:
The formation enthalpy at 0 K is -0.406 eV/atom. As for the crystal system: tetragonal.

---

VASP calculation (PBE) on an optimized crystal structure of HoTm2Hg2.

Cell and atoms, written as POSCAR:
```
HoTm2Hg2
1.0
8.3818 0.0000 0.0000
0.0000 8.3818 0.0000
0.0000 0.0000 3.7824
Ho Tm Hg
2 4 4
Direct
0.0000 0.0000 0.0000
0.5000 0.5000 0.0000
0.1660 0.3340 0.5000
0.3340 0.8340 0.5000
0.6660 0.1660 0.5000
0.8340 0.6660 0.5000
0.1334 0.6334 0.0000
0.3666 0.1334 0.0000
0.6334 0.8666 0.0000
0.8666 0.3666 0.0000
```

Values from the calculation:
The formation enthalpy at 0 K is -0.381 eV/atom. As for the crystal system: tetragonal. The value obtained for the excess energy over the best structure of this formula in the dataset is 0.004 eV/atom.

---

> Number 2 is which compound?

HoTm2Hg2

---

> What is the formation enthalpy at 0 K in the first record?

-0.406 eV/atom

---

> Which of these has the lowest formation enthalpy at 0 K?

HoTm2Hg5

---

> Which value of formation enthalpy at 0 K does entry 1 give?

-0.406 eV/atom